Record 1
RbSrIn4Pd2 | PBE-GGA | optimized geometry

abc: 8.0783 6.0631 6.0631
angles: 44.70 90.00 90.00
Positions (direct):
Rb 0.0000 0.0000 0.0000
Sr 0.5000 0.1127 0.1127
In 0.1958 0.7142 0.7142
In 0.3075 0.3994 0.3994
In 0.6925 0.3994 0.3994
In 0.8042 0.7142 0.7142
Pd 0.0000 0.2753 0.2753
Pd 0.5000 0.8354 0.8354

Output
Uncorrected energy ... -3.400 eV/atom
Density ... 6.72 g cm⁻³

---

Record 2
RbInTe3Pd | PBE-GGA | optimized geometry

abc: 15.5300 4.5383 12.2113
angles: 90.00 90.00 90.00
Positions (direct):
Rb 0.2176 0.2500 0.0217
Rb 0.2824 0.7500 0.5217
Rb 0.7176 0.2500 0.4783
Rb 0.7824 0.7500 0.9783
In 0.0274 0.2500 0.3664
In 0.4726 0.7500 0.8664
In 0.5274 0.2500 0.1336
In 0.9726 0.7500 0.6336
Te 0.0492 0.7500 0.8592
Te 0.1027 0.2500 0.5795
Te 0.1224 0.7500 0.2497
Te 0.3776 0.2500 0.7497
Te 0.3973 0.7500 0.0795
Te 0.4508 0.2500 0.3592
Te 0.5492 0.7500 0.6408
Te 0.6027 0.2500 0.9205
Te 0.6224 0.7500 0.2503
Te 0.8776 0.2500 0.7503
Te 0.8973 0.7500 0.4205
Te 0.9508 0.2500 0.1408
Pd 0.0238 0.7500 0.0726
Pd 0.4762 0.2500 0.5726
Pd 0.5238 0.7500 0.4274
Pd 0.9762 0.2500 0.9274

Output
Uncorrected energy ... -3.515 eV/atom
Density ... 5.32 g cm⁻³

---

Record 3
RbInTe3Pd | PBE-GGA | optimized geometry

abc: 9.3417 4.5511 9.8783
angles: 90.00 101.49 90.00
Positions (direct):
Rb 0.2231 0.2500 0.2845
Rb 0.7769 0.7500 0.7155
In 0.3225 0.7500 0.9011
In 0.6775 0.2500 0.0989
Te 0.0909 0.2500 0.8747
Te 0.1942 0.7500 0.6009
Te 0.4813 0.7500 0.1795
Te 0.5187 0.2500 0.8205
Te 0.8058 0.2500 0.3991
Te 0.9091 0.7500 0.1253
Pd 0.0456 0.2500 0.5979
Pd 0.9544 0.7500 0.4021

Output
Uncorrected energy ... -3.517 eV/atom
Density ... 5.56 g cm⁻³

---

Record 4
InPd3S6 | PBE-GGA | optimized geometry

abc: 7.3355 7.3355 7.3355
angles: 50.41 50.41 50.41
Positions (direct):
In 0.0000 0.0000 0.0000
Pd 0.1723 0.1723 0.1723
Pd 0.5000 0.5000 0.5000
Pd 0.8277 0.8277 0.8277
S 0.1042 0.4186 0.7778
S 0.2222 0.8958 0.5814
S 0.4186 0.7778 0.1042
S 0.5814 0.2222 0.8958
S 0.7778 0.1042 0.4186
S 0.8958 0.5814 0.2222

Output
Uncorrected energy ... -4.498 eV/atom
Density ... 4.82 g cm⁻³

---

Record 5
InPd3S5 | PBE-GGA | optimized geometry

abc: 5.9498 5.9498 6.5895
angles: 90.00 90.00 120.00
Positions (direct):
In 0.0000 0.0000 0.0000
Pd 0.0000 0.5000 0.5000
Pd 0.5000 0.0000 0.5000
Pd 0.5000 0.5000 0.5000
S 0.0000 0.0000 0.5000
S 0.3333 0.6667 0.2539
S 0.3333 0.6667 0.7461
S 0.6667 0.3333 0.2539
S 0.6667 0.3333 0.7461

Output
Uncorrected energy ... -4.381 eV/atom
Density ... 4.89 g cm⁻³

---

Record 6
In8Pd2S | PBE-GGA | optimized geometry

abc: 10.0726 10.0726 10.4822
angles: 90.00 90.00 90.00
Positions (direct):
In 0.0000 0.0000 0.1688
In 0.0000 0.0000 0.8312
In 0.0476 0.3071 0.3224
In 0.0476 0.3071 0.6776
In 0.0976 0.9024 0.5000
In 0.1883 0.8117 0.0000
In 0.1929 0.1929 0.0000
In 0.1929 0.5476 0.1776
In 0.1929 0.5476 0.8224
In 0.3071 0.0476 0.3224
In 0.3071 0.0476 0.6776
In 0.3071 0.6929 0.5000
In 0.3117 0.3117 0.5000
In 0.4024 0.4024 0.0000
In 0.4524 0.8071 0.1776
In 0.4524 0.8071 0.8224
In 0.5000 0.5000 0.3312
In 0.5000 0.5000 0.6688
In 0.5476 0.1929 0.1776
In 0.5476 0.1929 0.8224
In 0.5976 0.5976 0.0000
In 0.6883 0.6883 0.5000
In 0.6929 0.3071 0.5000
In 0.6929 0.9524 0.3224
In 0.6929 0.9524 0.6776
In 0.8071 0.4524 0.1776
In 0.8071 0.4524 0.8224
In 0.8071 0.8071 0.0000
In 0.8117 0.1883 0.0000
In 0.9024 0.0976 0.5000
In 0.9524 0.6929 0.3224
In 0.9524 0.6929 0.6776
Pd 0.1910 0.8090 0.2609
Pd 0.1910 0.8090 0.7391
Pd 0.3090 0.3090 0.2391
Pd 0.3090 0.3090 0.7609
Pd 0.6910 0.6910 0.2391
Pd 0.6910 0.6910 0.7609
Pd 0.8090 0.1910 0.2609
Pd 0.8090 0.1910 0.7391
S 0.0000 0.5000 0.0000
S 0.0000 0.5000 0.5000
S 0.5000 0.0000 0.0000
S 0.5000 0.0000 0.5000

Output
Uncorrected energy ... -3.559 eV/atom
Density ... 7.27 g cm⁻³